Below is an optimized crystal structure of CaP2Cl, with properties calculated at the PBE level.

## Properties
Relative energy among the computed polymorphs: 43 meV/atom
Final energy: -0.1691 Ha/atom
D(E_F): 2.0 states/eV/cell
Raw formation energy: -0.935 eV/atom

Unit cell a=7.8078 b=3.4710 c=8.1228 alpha=90.00 beta=105.77 gamma=90.00
Last column: nearest neighbours and their distance in Å.
Element x y z (fractional)
Ca  0.0000  0.0000  0.0000  3 Cl 2.69-2.86, 3 P 2.94-2.96
Ca  0.5000  0.5000  0.0000  3 Cl 2.69-2.86, 3 P 2.94-2.96
P  0.2630  0.5000  0.2293  2 P 2.21
P  0.4277  0.0000  0.3438  2 P 2.21
P  0.7630  0.0000  0.2293  2 P 2.21
P  0.9277  0.5000  0.3438  2 P 2.21
Cl  0.2624  0.0000  0.8131  3 Ca 2.69-2.86
Cl  0.7624  0.5000  0.8131  3 Ca 2.69-2.86